Zr2AlFe (GGA-PBE, relaxed); calculated formation energy = 26 kJ/mol of formula units; crystal system = trigonal
1.0
-5.940 4.062 -5.186
-3.766 3.276 -7.333
-5.957 1.179 -6.465
Fe Zr Al
1 2 1
Cartesian
-11.804 6.418 -14.307
-0.198 0.108 -0.240
-3.863 2.100 -4.682
-7.631 4.149 -9.248

ZrAl2Fe2 (GGA-PBE, relaxed); calculated formation energy = -116 kJ/mol of formula units; crystal system = tetragonal
1.0
-6.308 1.187 -2.805
-2.510 -5.682 3.239
-0.713 1.620 2.290
Fe Zr Al
4 2 4
Cartesian
-4.316 -4.401 1.770
-6.982 -2.704 -0.262
-4.502 -0.094 -1.336
-1.836 -1.791 0.695
0.000 0.000 0.000
-4.409 -2.247 0.217
-2.853 -2.664 2.825
-6.556 -3.311 2.130
-6.678 -0.211 -0.102
-2.976 0.436 0.593

ZrAlFe3 (GGA-PBE, relaxed); calculated formation energy = 706 kJ/mol of formula units; crystal system = cubic
1.0
4.579 0.000 0.000
0.000 4.579 0.000
0.000 0.000 4.579
Fe Zr Al
3 1 1
Cartesian
0.000 2.290 0.000
0.000 0.000 2.290
2.290 0.000 0.000
0.000 0.000 0.000
2.290 2.290 2.290

Zr2AlFe3 (GGA-PBE, relaxed); calculated formation energy = -213 kJ/mol of formula units; crystal system = trigonal
1.0
-3.532 -2.707 -2.322
2.458 -1.925 3.930
-4.396 -0.898 2.309
Zr Al Fe
2 1 3
Cartesian
-3.190 -3.487 3.492
-1.104 -4.616 1.635
-5.574 -3.538 1.753
-1.610 -1.735 1.759
-0.381 -2.698 3.725
-3.376 -3.089 0.598

Zr2AlFe (GGA-PBE, relaxed); calculated formation energy = 55 kJ/mol of formula units; crystal system = tetragonal
1.0
-0.520 6.551 -3.345
-6.969 0.634 2.325
-2.856 4.847 1.810
Fe Zr Al
2 4 2
Cartesian
0.000 0.000 0.000
-3.560 7.495 -1.022
-1.937 5.723 -1.520
-5.107 2.089 1.660
-4.590 6.297 0.855
-9.054 9.955 0.586
-3.744 3.592 -0.510
-6.784 4.537 1.813

ZrAl2Fe6 (GGA-PBE, relaxed); calculated formation energy = 49 kJ/mol of formula units; crystal system = hexagonal
1.0
-0.516 0.605 7.304
-3.792 -5.209 -3.531
1.985 -1.632 0.275
Zr Al Fe
1 2 6
Cartesian
0.000 0.000 0.000
-1.707 -4.086 0.218
-0.615 -2.148 3.830
0.823 -0.617 2.538
-0.254 -2.528 -1.023
-1.899 -3.906 2.670
-0.329 0.386 4.663
-2.421 -3.326 -2.255
-1.557 -1.664 1.364

Zr2Al2Fe15 (GGA-PBE, relaxed); calculated formation energy = -217 kJ/mol of formula units; crystal system = trigonal
1.0
-2.371 -3.529 4.673
-0.381 -5.500 -3.085
5.390 -2.590 2.040
Zr Al Fe
2 2 15
Cartesian
0.918 -4.043 1.262
1.720 -7.577 2.366
0.271 -1.192 0.372
2.367 -10.427 3.256
-1.185 -1.765 2.337
2.695 -1.295 1.020
-0.190 -2.750 -1.543
1.406 -4.599 -1.498
-1.755 -4.140 2.271
2.987 -2.881 2.855
-0.997 -4.890 -0.683
0.032 -3.239 3.858
3.603 -3.491 0.453
2.908 -5.884 0.068
-0.938 -6.350 1.373
1.922 -4.908 3.912
-0.270 -5.735 3.560
3.576 -5.269 2.256
0.716 -6.712 -0.284

Zr2AlFe3 (GGA-PBE, relaxed); calculated formation energy = -223 kJ/mol of formula units; crystal system = hexagonal
1.0
-2.497 -4.122 -1.471
4.276 -0.448 2.628
-4.270 0.101 6.965
Zr Al Fe
4 2 6
Cartesian
-2.098 -2.854 2.927
-0.392 -1.616 5.194
-1.975 -1.579 7.776
-0.515 -2.891 0.346
-2.135 0.050 3.483
0.000 0.000 0.000
-0.025 -0.838 2.392
-3.326 -1.420 5.170
-2.465 -3.631 5.729
2.043 -1.055 3.664
-4.534 -3.415 4.458
0.835 -3.049 2.952

Zr3AlFe (GGA-PBE, relaxed); calculated formation energy = 78 kJ/mol of formula units; crystal system = cubic
1.0
4.795 0.000 0.000
0.000 4.795 0.000
0.000 0.000 4.795
Fe Zr Al
1 3 1
Cartesian
0.000 0.000 0.000
0.000 2.397 0.000
0.000 0.000 2.397
2.397 0.000 0.000
2.397 2.397 2.397

ZrAl2Fe (GGA-PBE, relaxed); calculated formation energy = -113 kJ/mol of formula units; crystal system = cubic
1.0
-0.432 -1.327 -4.188
-3.189 -2.848 -1.096
-3.443 1.361 -2.400
Fe Zr Al
1 1 2
Cartesian
-3.532 -1.407 -3.842
-1.766 -0.704 -1.921
-3.621 -4.175 -5.283
-5.298 -2.111 -5.763

ZrAl6Fe6 (GGA-PBE, relaxed); calculated formation energy = -498 kJ/mol of formula units; crystal system = orthorhombic
1.0
-5.096 3.951 -0.680
-3.082 -5.596 -1.110
2.760 2.781 5.166
Zr Al Fe
1 6 6
Cartesian
0.000 0.000 0.000
-5.367 -1.079 -1.174
-2.811 -0.565 -0.615
-0.783 2.257 1.504
-1.553 4.475 2.983
-1.678 -1.713 1.696
-3.740 2.849 1.680
-2.709 0.568 1.688
-2.548 1.976 -0.340
-1.541 -2.798 -0.555
1.380 1.390 2.583
-4.698 0.932 0.274
-0.720 0.204 3.102

AlGa6 (GGA-PBE, relaxed); calculated formation energy = 274 kJ/mol of formula units; crystal system = cubic
1.0
-3.732 4.926 -0.012
-3.370 -5.139 -0.653
3.092 -0.229 5.347
Al Ga
1 6
Cartesian
0.000 0.000 0.000
-1.915 -2.738 2.180
-3.621 -1.449 0.841
-0.299 -1.510 3.680
-2.096 2.295 2.501
-0.390 1.006 3.841
-3.711 1.068 1.001

Al7Ga5 (GGA-PBE, relaxed); calculated formation energy = 49 kJ/mol of formula units; crystal system = monoclinic
1.0
-2.459 -1.063 0.833
4.457 -1.745 6.207
-4.253 9.850 0.013
Al Ga
7 5
Cartesian
-0.869 5.792 4.824
-1.386 1.251 2.229
0.754 -0.219 6.672
-3.009 7.262 0.381
-4.380 8.496 2.633
-3.356 4.394 0.423
2.125 -1.453 4.420
-1.038 4.101 2.167
-1.216 2.942 4.886
0.890 1.082 4.008
-3.145 5.961 3.045
0.000 0.000 0.000

AlGa (GGA-PBE, relaxed); calculated formation energy = 21 kJ/mol of formula units; crystal system = monoclinic
1.0
4.070 -0.166 -0.058
1.891 3.608 -0.058
1.836 1.060 5.162
Al Ga
2 2
Cartesian
5.825 3.364 1.765
1.971 1.138 3.281
1.954 1.128 0.580
5.843 3.374 4.466

AlGa5 (GGA-PBE, relaxed); calculated formation energy = 20 kJ/mol of formula units; crystal system = orthorhombic
1.0
4.077 0.000 0.000
0.000 4.580 0.000
0.000 -2.290 5.932
Al Ga
1 5
Cartesian
0.000 0.000 0.000
2.038 2.290 3.981
0.000 2.290 1.962
2.038 2.290 0.000
0.000 0.000 3.970
2.038 0.000 1.951

Al4Ga5 (GGA-PBE, relaxed); calculated formation energy = 137 kJ/mol of formula units; crystal system = tetragonal
1.0
-1.128 4.578 0.277
-6.618 0.779 0.442
-0.181 2.006 6.367
Al Ga
4 5
Cartesian
-0.839 2.068 2.673
-4.712 3.657 0.900
-3.214 3.706 6.186
-7.088 5.296 4.413
-0.564 2.289 0.139
-4.212 1.265 2.204
-5.120 3.347 4.361
-2.807 4.016 2.725
-3.714 6.098 4.883

AlGa (GGA-PBE, relaxed); calculated formation energy = 6 kJ/mol of formula units; crystal system = triclinic
1.0
-0.750 2.765 0.021
-2.192 0.865 -1.645
-3.173 0.454 3.915
Al Ga
1 1
Cartesian
-0.375 1.383 0.011
-3.057 2.042 1.145

Al3Ga7 (GGA-PBE, relaxed); calculated formation energy = 33 kJ/mol of formula units; crystal system = triclinic
1.0
2.877 0.095 -0.697
-0.418 5.637 -0.882
1.459 0.268 10.698
Al Ga
3 7
Cartesian
0.000 0.000 0.000
0.926 3.504 3.612
2.992 2.496 5.507
-0.209 2.819 -0.441
1.131 0.725 4.091
2.787 5.275 5.028
2.022 4.189 7.653
1.896 1.811 1.466
2.234 1.359 8.084
1.684 4.641 1.035

AlGa3 (GGA-PBE, relaxed); calculated formation energy = 15 kJ/mol of formula units; crystal system = orthorhombic
1.0
2.860 0.000 0.000
0.000 5.126 0.000
-1.430 -2.563 4.975
Al Ga
1 3
Cartesian
0.000 0.030 0.000
0.000 1.719 2.583
1.430 2.513 0.000
1.430 -0.845 2.392

Al5Ga7 (GGA-PBE, relaxed); calculated formation energy = 56 kJ/mol of formula units; crystal system = monoclinic
1.0
-1.133 -2.262 -1.733
-3.110 -4.329 4.971
-9.823 2.714 0.166
Al Ga
5 7
Cartesian
-8.472 -4.116 2.773
-5.594 0.240 0.631
-4.384 -2.442 0.628
-9.682 -1.435 2.777
0.000 0.000 0.000
-11.055 -3.674 3.884
-3.011 -0.203 -0.479
-4.610 -2.388 3.418
-9.456 -1.489 -0.014
-1.483 -2.147 1.060
-7.033 -1.938 1.702
-12.582 -1.729 2.344

AlGa (GGA-PBE, relaxed); calculated formation energy = 26 kJ/mol of formula units; crystal system = tetragonal
1.0
-0.597 -0.129 -8.696
8.674 -0.633 -0.586
-0.311 -4.339 0.086
Al Ga
8 8
Cartesian
0.898 -0.136 -3.629
7.179 -0.626 -5.653
3.025 -0.371 -7.790
5.052 -0.392 -1.492
4.781 -2.687 -8.228
2.985 -2.415 -0.969
7.505 -2.792 -3.693
0.261 -2.309 -5.504
7.726 -0.597 -2.202
0.351 -0.165 -7.080
1.610 -0.134 -0.949
6.467 -0.628 -8.333
2.934 -2.515 -6.213
4.832 -2.587 -2.983
5.493 -2.685 -5.547
2.273 -2.417 -3.650

AlGa (GGA-PBE, relaxed); calculated formation energy = 6 kJ/mol of formula units; crystal system = triclinic
1.0
-0.163 -2.025 -2.187
0.638 -3.443 3.469
-4.667 -1.672 0.237
Al Ga
2 2
Cartesian
-3.264 -2.796 1.184
-0.928 -4.344 0.335
-1.121 -1.630 -0.310
-3.071 -5.510 1.829

Al6Ga (GGA-PBE, relaxed); calculated formation energy = 471 kJ/mol of formula units; crystal system = cubic
1.0
-0.203 3.942 4.979
-4.963 -3.961 0.231
5.395 -3.352 0.171
Al Ga
6 1
Cartesian
-1.075 -3.661 1.504
-2.475 -1.837 2.706
1.514 -3.509 1.489
1.305 0.290 3.878
2.704 -1.533 2.676
-1.285 0.138 3.893
0.000 0.000 0.000

Al7Ga2 (GGA-PBE, relaxed); calculated formation energy = 144 kJ/mol of formula units; crystal system = trigonal
1.0
5.448 0.000 0.000
2.724 4.718 0.000
2.724 1.573 13.340
Al Ga
14 4
Cartesian
5.448 3.145 6.670
2.724 1.573 2.255
8.172 4.718 11.085
5.448 3.145 11.039
5.448 3.145 2.300
2.724 0.000 0.000
1.362 2.359 0.000
4.086 2.359 0.000
6.834 3.946 8.777
5.448 1.545 8.777
4.062 3.946 8.777
4.062 2.345 4.563
5.448 4.746 4.563
6.834 2.345 4.563
2.724 1.573 11.829
8.172 4.718 1.511
2.724 1.573 7.481
8.172 4.718 5.859